1.
# RbCaMnCd2 PBE optimized geometry
data_RbCaMnCd2
_cell_length_a 6.0537
_cell_length_b 6.0537
_cell_length_c 6.9557
_cell_angle_alpha 90.00
_cell_angle_beta 90.00
_cell_angle_gamma 90.00
_symmetry_space_group_name_H-M 'P 4/m m m'
_symmetry_Int_Tables_number 123
_symmetry_space_group_name_Hall '-P 4 2'
loop_
_atom_site_label
_atom_site_type_symbol
_atom_site_fract_x
_atom_site_fract_y
_atom_site_fract_z
_atom_site_occupancy
Rb1 Rb 0.0000 0.0000 0.0000 1
Ca1 Ca 0.0000 0.0000 0.5000 1
Mn1 Mn 0.5000 0.5000 0.0000 1
Cd1 Cd 0.0000 0.5000 0.5000 1
# E_form: 976 meV per atom

***

2.
# CaMnCd2Sb PBE optimized geometry
data_CaMnCd2Sb
_cell_length_a 5.7281
_cell_length_b 5.7281
_cell_length_c 5.7702
_cell_angle_alpha 90.00
_cell_angle_beta 90.00
_cell_angle_gamma 90.00
_symmetry_space_group_name_H-M 'P 4/m m m'
_symmetry_Int_Tables_number 123
_symmetry_space_group_name_Hall '-P 4 2'
loop_
_atom_site_label
_atom_site_type_symbol
_atom_site_fract_x
_atom_site_fract_y
_atom_site_fract_z
_atom_site_occupancy
Ca1 Ca 0.0000 0.0000 0.0000 1
Mn1 Mn 0.5000 0.5000 0.5000 1
Cd1 Cd 0.0000 0.5000 0.0000 1
Sb1 Sb 0.0000 0.0000 0.5000 1
# ΔE_f (raw): 852.9 meV per atom

***

3.
# CaMn2CdSi PBE optimized geometry
data_CaMn2CdSi
_cell_length_a 5.0365
_cell_length_b 5.0365
_cell_length_c 5.4271
_cell_angle_alpha 90.00
_cell_angle_beta 90.00
_cell_angle_gamma 90.00
_symmetry_space_group_name_H-M 'P 4/m m m'
_symmetry_Int_Tables_number 123
_symmetry_space_group_name_Hall '-P 4 2'
loop_
_atom_site_label
_atom_site_type_symbol
_atom_site_fract_x
_atom_site_fract_y
_atom_site_fract_z
_atom_site_occupancy
Ca1 Ca 0.0000 0.0000 0.0000 1
Mn1 Mn 0.0000 0.5000 0.0000 1
Cd1 Cd 0.0000 0.0000 0.5000 1
Si1 Si 0.5000 0.5000 0.5000 1
# ΔE_f (raw): 1750.4 meV per atom

***

4.
# CaMnCdSi2 PBE optimized geometry
data_CaMnCdSi2
_cell_length_a 5.1660
_cell_length_b 5.1660
_cell_length_c 5.4212
_cell_angle_alpha 90.00
_cell_angle_beta 90.00
_cell_angle_gamma 90.00
_symmetry_space_group_name_H-M 'P 4/m m m'
_symmetry_Int_Tables_number 123
_symmetry_space_group_name_Hall '-P 4 2'
loop_
_atom_site_label
_atom_site_type_symbol
_atom_site_fract_x
_atom_site_fract_y
_atom_site_fract_z
_atom_site_occupancy
Ca1 Ca 0.0000 0.0000 0.0000 1
Mn1 Mn 0.5000 0.5000 0.5000 1
Cd1 Cd 0.0000 0.0000 0.5000 1
Si1 Si 0.0000 0.5000 0.0000 1
# ΔE_f (raw): 1964.3 meV per atom

***

Number 1: DOS at the Fermi energy 6.711 states/eV/f.u., E_tot -1.818 eV/atom. Number 2: DOS at the Fermi energy 3.319 states/eV/f.u., E_tot -2.572 eV/atom. Number 3: DOS at the Fermi energy 5.301 states/eV/f.u., E_tot -3.585 eV/atom. Number 4: DOS at the Fermi energy 6.038 states/eV/f.u., E_tot -2.622 eV/atom.